Record 1
CaGeH2N (meta-GGA SCAN, single point on PBEsol structure); energy = -42.95 eV per formula unit; crystal system = tetragonal
1.0
3.4050 0.0000 0.0000
0.0000 3.4050 0.0000
0.0000 0.0000 6.5848
Ca Ge H N
1 1 2 1
direct
0.0000 0.0000 0.0000
0.0000 0.0000 0.5000
0.0000 0.5000 0.5000
0.5000 0.0000 0.5000
0.5000 0.5000 0.0000

***

Record 2
LiIn2Rh (meta-GGA SCAN, single point on PBEsol structure); energy of formation = -0.39 eV per atom; crystal system = tetragonal; energy relative to the lowest polymorph listed for this composition = 100 meV/atom
1.0
4.4550 0.0000 0.0000
0.0000 4.4550 0.0000
0.0000 0.0000 3.3513
Li In Rh
1 2 1
direct
0.0000 0.0000 0.0000
0.0000 0.5000 0.5000
0.5000 0.0000 0.5000
0.5000 0.5000 0.0000

***

Record 3
TbMgTl (meta-GGA SCAN, single point on PBEsol structure); energy of formation = -0.56 eV per atom; crystal system = hexagonal
1.0
7.4700 0.0000 0.0000
-3.7350 6.4693 0.0000
0.0000 0.0000 4.6121
Tb Mg Tl
3 3 3
direct
0.0000 0.5698 0.0000
0.4302 0.4302 0.0000
0.5698 0.0000 0.0000
0.0000 0.2433 0.5000
0.2433 0.0000 0.5000
0.7567 0.7567 0.5000
0.0000 0.0000 0.0000
0.3333 0.6667 0.5000
0.6667 0.3333 0.5000

***

Record 4
TaCoOF2 (meta-GGA SCAN, single point on PBEsol structure); energy = -100.45 eV per formula unit; crystal system = tetragonal
1.0
3.8350 0.0000 0.0000
0.0000 3.8350 0.0000
0.0000 0.0000 3.8275
Ta Co O F
1 1 1 2
direct
0.0000 0.0000 0.0000
0.5000 0.5000 0.5000
0.5000 0.5000 0.0000
0.0000 0.5000 0.5000
0.5000 0.0000 0.5000

***

Record 5
Cu2Au3 (meta-GGA SCAN, single point on PBEsol structure); energy of formation = -0.06 eV per atom; crystal system = monoclinic; energy relative to the lowest polymorph listed for this composition = 17 meV/atom
1.0
4.2054 -1.9929 0.0000
4.2054 1.9929 0.0000
-3.8548 0.0000 4.4276
Cu Au
2 3
direct
0.0926 0.0926 0.2886
0.9074 0.9074 0.7114
0.2952 0.2952 0.8774
0.5000 0.5000 0.5000
0.7048 0.7048 0.1226

***

Record 6
CaMg30CrO32 (meta-GGA SCAN, single point on PBEsol structure); energy = -566.13 eV per formula unit; crystal system = tetragonal
1.0
8.5110 0.0000 0.0000
0.0000 8.5110 0.0000
0.0000 0.0000 8.4549
Ca Mg Cr O
1 30 1 32
direct
0.0000 0.0000 0.0000
0.0000 0.2545 0.2532
0.0000 0.2545 0.7468
0.0000 0.5000 0.0000
0.0000 0.5000 0.5000
0.0000 0.7455 0.2532
0.0000 0.7455 0.7468
0.2505 0.2505 0.5000
0.2505 0.5000 0.2504
0.2505 0.5000 0.7496
0.2505 0.7495 0.5000
0.2529 0.2529 0.0000
0.2529 0.7471 0.0000
0.2545 0.0000 0.2532
0.2545 0.0000 0.7468
0.5000 0.0000 0.0000
0.5000 0.0000 0.5000
0.5000 0.2505 0.2504
0.5000 0.2505 0.7496
0.5000 0.5000 0.0000
0.5000 0.5000 0.5000
0.5000 0.7495 0.2504
0.5000 0.7495 0.7496
0.7455 0.0000 0.2532
0.7455 0.0000 0.7468
0.7471 0.2529 0.0000
0.7471 0.7471 0.0000
0.7495 0.2505 0.5000
0.7495 0.5000 0.2504
0.7495 0.5000 0.7496
0.7495 0.7495 0.5000
0.0000 0.0000 0.5000
0.0000 0.0000 0.2641
0.0000 0.0000 0.7359
0.0000 0.2591 0.5000
0.0000 0.2615 0.0000
0.0000 0.5000 0.2507
0.0000 0.5000 0.7493
0.0000 0.7385 0.0000
0.0000 0.7409 0.5000
0.2496 0.2496 0.2500
0.2496 0.2496 0.7500
0.2496 0.7504 0.2500
0.2496 0.7504 0.7500
0.2515 0.5000 0.5000
0.2521 0.5000 0.0000
0.2591 0.0000 0.5000
0.2615 0.0000 0.0000
0.5000 0.0000 0.2507
0.5000 0.0000 0.7493
0.5000 0.2515 0.5000
0.5000 0.2521 0.0000
0.5000 0.5000 0.2501
0.5000 0.5000 0.7499
0.5000 0.7479 0.0000
0.5000 0.7485 0.5000
0.7385 0.0000 0.0000
0.7409 0.0000 0.5000
0.7479 0.5000 0.0000
0.7485 0.5000 0.5000
0.7504 0.2496 0.2500
0.7504 0.2496 0.7500
0.7504 0.7504 0.2500
0.7504 0.7504 0.7500

***

Record 7
CsFe2PSe (meta-GGA SCAN, single point on PBEsol structure); energy = -92.26 eV per formula unit; crystal system = tetragonal
1.0
4.6947 0.0000 0.0000
0.0000 4.6947 0.0000
0.0000 0.0000 5.9613
Cs Fe P Se
1 2 1 1
direct
0.0000 0.0000 0.0000
0.0000 0.5000 0.0000
0.5000 0.0000 0.0000
0.5000 0.5000 0.5000
0.0000 0.0000 0.5000

***

Record 8
IrRu3 (meta-GGA SCAN, single point on PBEsol structure); energy of formation = -0.06 eV per atom; crystal system = orthorhombic
1.0
2.6972 0.0000 0.0000
0.0000 4.2739 0.0000
0.0000 0.0000 4.6727
Ir Ru
1 3
direct
0.0000 0.0000 0.0000
0.0000 0.5000 0.3351
0.5000 0.0000 0.4999
0.5000 0.5000 0.8314

***

Record 9
MgFe2Co2 (meta-GGA SCAN, single point on PBEsol structure); energy of formation = 0.20 eV per atom; crystal system = tetragonal
1.0
-1.8616 1.8616 4.8362
1.8616 -1.8616 4.8362
1.8616 1.8616 -4.8362
Mg Fe Co
1 2 2
direct
0.0000 0.0000 0.0000
0.2500 0.7500 0.5000
0.7500 0.2500 0.5000
0.3867 0.3867 0.0000
0.6133 0.6133 0.0000

***

Record 10
Li3Ca5 (meta-GGA SCAN, single point on PBEsol structure); energy of formation = 0.03 eV per atom; crystal system = hexagonal; energy relative to the lowest polymorph listed for this composition = 0 meV/atom
1.0
9.5820 0.0000 0.0000
-4.7910 8.2982 0.0000
0.0000 0.0000 6.8015
Li Ca
6 10
direct
0.0000 0.4054 0.2500
0.0000 0.5946 0.7500
0.4054 0.0000 0.2500
0.4054 0.4054 0.7500
0.5946 0.0000 0.7500
0.5946 0.5946 0.2500
0.0000 0.2426 0.7500
0.0000 0.7574 0.2500
0.2426 0.0000 0.7500
0.2426 0.2426 0.2500
0.3333 0.6667 0.0000
0.3333 0.6667 0.5000
0.6667 0.3333 0.0000
0.6667 0.3333 0.5000
0.7574 0.0000 0.2500
0.7574 0.7574 0.7500

***

Record 11
BaMn2Ni (meta-GGA SCAN, single point on PBEsol structure); energy of formation = 0.24 eV per atom; crystal system = tetragonal; energy relative to the lowest polymorph listed for this composition = 187 meV/atom
1.0
3.2997 0.0000 0.0000
0.0000 3.2997 0.0000
0.0000 0.0000 7.2346
Ba Mn Ni
1 2 1
direct
0.0000 0.0000 0.0000
0.0000 0.0000 0.5538
0.5000 0.5000 0.3468
0.5000 0.5000 0.6732

***

Record 12
NiAg3Bi (meta-GGA SCAN, single point on PBEsol structure); energy of formation = 1.27 eV per atom; crystal system = cubic
1.0
5.2026 0.0000 0.0000
0.0000 5.2026 0.0000
0.0000 0.0000 5.2026
Ni Ag Bi
1 3 1
direct
0.0000 0.0000 0.0000
0.0000 0.5000 0.5000
0.5000 0.0000 0.5000
0.5000 0.5000 0.0000
0.5000 0.5000 0.5000

***

Record 13
MgAsRu2 (meta-GGA SCAN, single point on PBEsol structure); energy of formation = -0.04 eV per atom; crystal system = tetragonal
1.0
2.8787 0.0000 0.0000
0.0000 2.8787 0.0000
0.0000 0.0000 7.5666
Mg As Ru
1 1 2
direct
0.0000 0.0000 0.0000
0.5000 0.5000 0.6714
0.0000 0.0000 0.4650
0.5000 0.5000 0.2431

***

Record 14
Ca2YBr (meta-GGA SCAN, single point on PBEsol structure); crystal system = orthorhombic; energy relative to the lowest polymorph listed for this composition = 115 meV/atom
1.0
1.9473 -3.0863 0.0000
1.9473 3.0863 0.0000
0.0000 0.0000 10.5870
Ca Y Br
2 1 1
direct
0.0000 0.0000 0.0000
0.5000 0.5000 0.2938
0.5000 0.5000 0.7283
0.0000 0.0000 0.5126

***

Record 15
LiLa2Mg (meta-GGA SCAN, single point on PBEsol structure); energy of formation = 0.04 eV per atom; crystal system = orthorhombic; energy relative to the lowest polymorph listed for this composition = 53 meV/atom
1.0
3.4362 0.0000 0.0000
0.0000 4.5730 0.0000
0.0000 0.0000 6.9911
Li La Mg
1 2 1
direct
0.0000 0.0000 0.0000
0.0000 0.0000 0.4894
0.5000 0.5000 0.7179
0.5000 0.5000 0.2159

***

Record 16
MgAg4 (meta-GGA SCAN, single point on PBEsol structure); energy of formation = -0.10 eV per atom; crystal system = monoclinic
1.0
4.7496 -1.4858 0.0000
4.7496 1.4858 0.0000
-3.5492 0.0000 6.0165
Mg Ag
1 4
direct
0.0000 0.0000 0.0000
0.1987 0.1987 0.8003
0.3987 0.3987 0.5987
0.6013 0.6013 0.4013
0.8013 0.8013 0.1997

***

Record 17
KRb3Sb (meta-GGA SCAN, single point on PBEsol structure); energy = -105.54 eV per formula unit; crystal system = cubic
1.0
6.7500 0.0000 0.0000
0.0000 6.7500 0.0000
0.0000 0.0000 6.7500
K Rb Sb
1 3 1
direct
0.0000 0.0000 0.0000
0.0000 0.0000 0.5000
0.0000 0.5000 0.0000
0.5000 0.0000 0.0000
0.5000 0.5000 0.5000

***

Record 18
SiNi2Pt (meta-GGA SCAN, single point on PBEsol structure); energy = -114.65 eV per formula unit; crystal system = tetragonal
1.0
3.5935 0.0000 0.0000
0.0000 3.5935 0.0000
0.0000 0.0000 3.6398
Si Ni Pt
1 2 1
direct
0.0000 0.0000 0.0000
0.0000 0.5000 0.5000
0.5000 0.0000 0.5000
0.5000 0.5000 0.0000

***

Record 19
AgSbP2Cl (meta-GGA SCAN, single point on PBEsol structure); crystal system = tetragonal; energy relative to the lowest polymorph listed for this composition = 0 meV/atom
1.0
4.7834 0.0000 0.0000
0.0000 4.7834 0.0000
0.0000 0.0000 4.7327
Ag Sb P Cl
1 1 2 1
direct
0.0000 0.0000 0.0000
0.5000 0.5000 0.5000
0.0000 0.5000 0.0000
0.5000 0.0000 0.0000
0.0000 0.0000 0.5000

***

Record 20
K2CuAuF6 (meta-GGA SCAN, single point on PBEsol structure); energy = -142.30 eV per formula unit; crystal system = cubic
1.0
0.0000 4.1846 4.1846
4.1846 0.0000 4.1846
4.1846 4.1846 0.0000
K Cu Au F
2 1 1 6
direct
0.2500 0.2500 0.2500
0.7500 0.7500 0.7500
0.0000 0.0000 0.0000
0.5000 0.5000 0.5000
0.2353 0.2353 0.7647
0.2353 0.7647 0.2353
0.2353 0.7647 0.7647
0.7647 0.2353 0.2353
0.7647 0.2353 0.7647
0.7647 0.7647 0.2353

***

Record 21
CrAg2P (meta-GGA SCAN, single point on PBEsol structure); energy of formation = 0.06 eV per atom; crystal system = orthorhombic
1.0
-1.4892 1.7854 6.0315
1.4892 -1.7854 6.0315
1.4892 1.7854 -6.0315
Cr Ag P
1 2 1
direct
0.0000 0.0000 0.0000
0.3147 0.8147 0.5000
0.6853 0.1853 0.5000
0.5000 0.5000 0.0000

***

Record 22
Ba2ZrAs (meta-GGA SCAN, single point on PBEsol structure); energy of formation = -0.33 eV per atom; crystal system = orthorhombic
1.0
-1.9785 2.8892 5.8323
1.9785 -2.8892 5.8323
1.9785 2.8892 -5.8323
Ba Zr As
2 1 1
direct
0.0000 0.0000 0.0000
0.6869 0.1869 0.5000
0.3033 0.8033 0.5000
0.4502 0.4502 0.0000

***

Record 23
Sr2AlMoCl (meta-GGA SCAN, single point on PBEsol structure); energy = -91.74 eV per formula unit; crystal system = tetragonal
1.0
6.2417 0.0000 0.0000
0.0000 6.2417 0.0000
0.0000 0.0000 4.9110
Sr Al Mo Cl
2 1 1 1
direct
0.0000 0.5000 0.0000
0.5000 0.0000 0.0000
0.0000 0.0000 0.0000
0.5000 0.5000 0.5000
0.0000 0.0000 0.5000

***

Record 24
ZrRu2Br (meta-GGA SCAN, single point on PBEsol structure); crystal system = tetragonal; energy relative to the lowest polymorph listed for this composition = 95 meV/atom
1.0
-1.9443 1.9443 4.2470
1.9443 -1.9443 4.2470
1.9443 1.9443 -4.2470
Zr Ru Br
1 2 1
direct
0.0000 0.0000 0.0000
0.2500 0.7500 0.5000
0.7500 0.2500 0.5000
0.5000 0.5000 0.0000

***

Record 25
BaAl2Sb (meta-GGA SCAN, single point on PBEsol structure); energy = -93.15 eV per formula unit; crystal system = monoclinic
1.0
4.8925 0.0000 0.0000
0.0000 5.0805 0.0000
-0.1887 0.0000 5.1113
Ba Al Sb
1 2 1
direct
0.0000 0.0000 0.0000
0.2514 0.5000 0.5949
0.7486 0.5000 0.4051
0.5000 0.0000 0.5000

***

Number 1: size of the total moment 0.368 μB/atom. Number 2: size of the total moment 0.000 μB/atom. Number 3: size of the total moment 0.000 μB/atom. Number 4: size of the total moment 0.781 μB/atom. Number 5: size of the total moment 0.000 μB/atom. Number 6: size of the total moment 0.063 μB/atom. Number 7: size of the total moment 1.065 μB/atom. Number 8: size of the total moment 0.000 μB/atom. Number 9: size of the total moment 1.658 μB/atom. Number 10: size of the total moment 0.101 μB/atom. Number 11: size of the total moment 2.205 μB/atom. Number 12: size of the total moment 0.235 μB/atom. Number 13: size of the total moment 0.141 μB/atom. Number 14: size of the total moment 0.006 μB/atom. Number 15: size of the total moment 0.007 μB/atom. Number 16: size of the total moment 0.000 μB/atom. Number 17: size of the total moment 0.001 μB/atom. Number 18: size of the total moment 0.000 μB/atom. Number 19: size of the total moment 0.000 μB/atom. Number 20: size of the total moment 0.000 μB/atom. Number 21: size of the total moment 0.819 μB/atom. Number 22: size of the total moment 0.003 μB/atom. Number 23: size of the total moment 0.961 μB/atom. Number 24: size of the total moment 0.000 μB/atom. Number 25: size of the total moment 0.000 μB/atom.